{
  "formula": "CeB4W",
  "functional": "PBE",
  "state": "optimized geometry",
  "lattice": [[6.067, 0.000, 0.000], [0.000, 11.740, 0.000], [0.000, 0.000, 3.698]],
  "species": ["Ce", "Ce", "Ce", "Ce", "B", "B", "B", "B", "B", "B", "B", "B", "B", "B", "B", "B", "B", "B", "B", "B", "W", "W", "W", "W"],
  "fractional_positions": [[0.125, 0.151, 0.000], [0.375, 0.651, 0.000], [0.625, 0.349, 0.000], [0.875, 0.849, 0.000], [0.026, 0.692, 0.500], [0.114, 0.547, 0.500], [0.136, 0.968, 0.500], [0.214, 0.814, 0.500], [0.286, 0.314, 0.500], [0.364, 0.468, 0.500], [0.386, 0.047, 0.500], [0.474, 0.192, 0.500], [0.526, 0.808, 0.500], [0.614, 0.953, 0.500], [0.636, 0.532, 0.500], [0.714, 0.686, 0.500], [0.786, 0.186, 0.500], [0.864, 0.032, 0.500], [0.886, 0.453, 0.500], [0.974, 0.308, 0.500], [0.131, 0.414, 0.000], [0.369, 0.914, 0.000], [0.631, 0.086, 0.000], [0.869, 0.586, 0.000]],
  "spacegroup": "Pbam, No. 55",
  "formation_energy_kcal_per_mol_atoms": -13.0
}